Computed, not measured: an optimized crystal structure of FeReOF2 at the PBE with a Hubbard U level of DFT.

Calculated values
**Uncorrected energy**: -5.975 eV/atom
**Spin magnetization**: 4.4 μB per cell
**ΔE to the lowest computed polymorph**: 0.0000 eV per atom

Cell: 4.336 4.336 3.796 Å, 90.00 90.00 90.00°
Each line ends with the local moment (μB).
Element x y z (fractional)
F 0.500 0.000 0.000  0.03
F 0.000 0.500 0.000  0.03
Fe 0.500 0.500 0.500  4.08
O 0.000 0.000 0.500  0.03
Re 0.000 0.000 0.000  -0.17